Entry 1:
Material: TaS2IN
Method: DFT, PBE
State: optimized geometry

Results
The calculation puts the density of states at the Fermi level at 0.795 states/eV/atom. For the uncorrected formation energy, the calculation gives 1744 meV per atom.

Structure (POSCAR):
```
TaS2IN
1.0
5.154 0.000 0.000
0.000 5.154 0.000
0.000 0.000 3.825
S N I Ta
2 1 1 1
Direct
0.000 0.500 0.000
0.500 0.000 0.000
0.000 0.000 0.500
0.000 0.000 0.000
0.500 0.500 0.500
```

---

Entry 2:
Material: TcSIN2
Method: DFT, PBE
State: optimized geometry

Results
The calculation puts the density of states at the Fermi level at 0.839 states/eV/atom. For the uncorrected formation energy, the calculation gives 2060 meV per atom.

Structure (POSCAR):
```
TcSIN2
1.0
3.677 0.000 0.000
0.000 3.677 0.000
0.000 0.000 6.871
N Tc S I
2 1 1 1
Direct
0.000 0.500 0.000
0.500 0.000 0.000
0.500 0.500 0.500
0.000 0.000 0.000
0.000 0.000 0.500
```

---

Entry 3:
Material: Tc2SIN
Method: DFT, PBE
State: optimized geometry

Results
The calculation puts the density of states at the Fermi level at 1.129 states/eV/atom. For the uncorrected formation energy, the calculation gives 1334 meV per atom.

Structure (POSCAR):
```
Tc2SIN
1.0
4.688 0.000 0.000
0.000 3.533 0.000
0.000 0.000 4.688
S N Tc I
1 1 2 1
Direct
0.000 0.000 0.000
0.000 0.500 0.000
0.000 0.000 0.500
0.500 0.000 0.000
0.500 0.500 0.500
```